(1)
# GaTc2C

Crystalline GaTc2C at its relaxed geometry (PBE-GGA, Alexandria via LeMat-Bulk).

abc: 5.8173 5.8173 5.8173
angles: 90.00 90.00 90.00
With the nearest neighbours (Å) after each atom.
Space group Fm-3m (No. 225)
Unique sites:
Ga: 0.0000 0.0000 0.0000 [4 per cell]  8 Tc 2.52
Tc: 0.2500 0.2500 0.2500 [8 per cell]  4 C 2.52, 4 Ga 2.52
C: 0.0000 0.0000 0.5000 [4 per cell]  8 Tc 2.52

## Properties
The calculation puts the energy above the most stable polymorph in this dataset at 2.93 eV/f.u.


(2)
# GaTcC3

Crystalline GaTcC3 at its relaxed geometry (PBE-GGA, Alexandria via LeMat-Bulk).

abc: 4.0511 4.0511 4.0511
angles: 90.00 90.00 90.00
With the nearest neighbours (Å) after each atom.
Space group Pm-3m (No. 221)
Unique sites:
Ga: 0.0000 0.0000 0.0000 [1 per cell]  12 C 2.86
Tc: 0.5000 0.5000 0.5000 [1 per cell]  6 C 2.03
C: 0.0000 0.5000 0.5000 [3 per cell]  2 Tc 2.03

## Properties
The calculation puts the energy above the most stable polymorph in this dataset at 0.00 eV/f.u.


(3)
# GaTcC2

Crystalline GaTcC2 at its relaxed geometry (PBE-GGA, Alexandria via LeMat-Bulk).

abc: 4.7365 4.7365 9.1203
angles: 90.00 90.00 90.00
With the nearest neighbours (Å) after each atom.
Space group I-42d (No. 122)
Unique sites:
Ga: 0.0000 0.0000 0.0000 [4 per cell]  4 C 2.08
Tc: 0.0000 0.0000 0.5000 [4 per cell]  4 C 1.97
C: 0.2306 0.2500 0.6250 [8 per cell]  2 Tc 1.97, 2 Ga 2.08


(4)
# GaTc2C

Crystalline GaTc2C at its relaxed geometry (PBE-GGA, Alexandria via LeMat-Bulk).

abc: 6.6312 6.6312 4.8018
angles: 90.00 90.00 90.00
With the nearest neighbours (Å) after each atom.
Space group I-42d (No. 122)
Unique sites:
Ga: 0.0000 0.0000 0.0000 [4 per cell]  2 C 2.40, 4 Tc 2.65
Tc: 0.1537 0.2500 0.6250 [8 per cell]  2 C 2.04
C: 0.0000 0.0000 0.5000 [4 per cell]  4 Tc 2.04

## Properties
The calculation puts the energy above the most stable polymorph in this dataset at 0.23 eV/f.u.


no.,total magnetic moment (μB/cell),E (eV per atom),calculated formation energy (eV/atom)
1,0.00,-7.30,0.944
2,0.00,-6.40,1.808
3,0.00,-7.27,0.688
4,0.00,-7.98,0.269